A plane-wave DFT calculation with PBE was carried out for a relaxed structure of Ho4TeC2.

Cell lengths 3.7095, 3.7095, 13.4552 Å; angles 82.08, 82.08, 60.00 degrees
Closest atoms and distances in Å follow each position.
Positions (direct):
C: 0.4232 0.4232 0.7305  6 Ho 2.48-2.54
C: 0.5768 0.5768 0.2695  6 Ho 2.48-2.54
Ho: 0.8786 0.8786 0.3643  3 C 2.48
Ho: 0.7221 0.7221 0.8336  3 C 2.54
Ho: 0.2779 0.2779 0.1664  3 C 2.54
Te: 0.0000 0.0000 0.0000  6 Ho 3.08
Ho: 0.1214 0.1214 0.6357  3 C 2.48

Summary:
ΔE to the lowest computed polymorph in eV per atom: 0.029
Density of states at the Fermi level in states/eV/f.u.: 3.8
Energy relative to the elements, uncorrected in eV per atom: -0.586

---

A plane-wave DFT calculation with PBE was carried out for a relaxed structure of Ho2TeC.

Cell lengths 3.7921, 3.7921, 7.4053 Å; angles 75.17, 75.17, 60.00 degrees
Closest atoms and distances in Å follow each position.
Positions (direct):
Te: 0.4995 0.4995 0.5014  6 Ho 3.12-3.13
Ho: 0.0614 0.0614 0.8159  3 C 2.54
C: 0.6677 0.6677 0.9969  6 Ho 2.54-2.56
Ho: 0.2714 0.2714 0.1858  3 C 2.56

Summary:
Density of states at the Fermi level in states/eV/f.u.: 1.0
Energy relative to the elements, uncorrected in eV per atom: -0.835

---

A plane-wave DFT calculation with PBE was carried out for a relaxed structure of Ho4Te5C.

Cell lengths 3.9481, 8.3987, 9.1261 Å; angles 96.04, 102.49, 90.00 degrees
Closest atoms and distances in Å follow each position.
Positions (direct):
Te: 0.1806 0.8181 0.3611  4 Ho 2.99-3.15
Te: 0.8194 0.1819 0.6389  4 Ho 2.99-3.15
Ho: 0.9877 0.1997 0.9753  2 C 2.61
C: 0.5000 0.0000 0.0000  6 Ho 2.58-2.61
Ho: 0.3558 0.9255 0.7115  1 C 2.58
Ho: 0.0123 0.8003 0.0247  2 C 2.61
Te: 0.8492 0.6470 0.6985  3 Ho 3.05
Ho: 0.6442 0.0745 0.2885  1 C 2.58
Te: 0.1508 0.3530 0.3015  3 Ho 3.05
Te: 0.5000 0.5000 0.0000  4 Ho 3.19

Summary:
Density of states at the Fermi level in states/eV/f.u.: 3.1
Energy relative to the elements, uncorrected in eV per atom: -0.910